First-principles (PBE-GGA) data for a relaxed EuTmMg2 crystal, as listed in Alexandria via LeMat-Bulk.

a = 3.848 Å, b = 3.848 Å, c = 7.881 Å
α = 90.00°, β = 90.00°, γ = 90.00°
Sites, in units of the cell vectors:
Eu 0.000 0.000 0.000
Tm 0.000 0.000 0.500
Mg 0.500 0.500 0.273
Mg 0.500 0.500 0.727

Computed properties:
Total DFT energy (no corrections)   -18.156 eV/cell
Formation enthalpy at 0 K   -0.0553 eV per atom


First-principles (PBE-GGA) data for a relaxed EuTmMg crystal, as listed in Alexandria via LeMat-Bulk.

a = 7.122 Å, b = 7.122 Å, c = 7.122 Å
α = 149.37°, β = 149.37°, γ = 43.87°
Sites, in units of the cell vectors:
Eu 0.000 0.000 0.000
Tm 0.305 0.305 0.000
Mg 0.666 0.666 0.000

Computed properties:
Total DFT energy (no corrections)   -16.283 eV/cell
Formation enthalpy at 0 K   0.0191 eV per atom